Record 1
{"formula": "BiP2SCl", "functional": "PBE", "state": "optimized geometry", "spacegroup": "P4/mmm", "e_above_lowest_polymorph_mev_per_atom": 423, "lattice_angstrom": [[-2.035, -2.763, 3.188], [4.043, -0.269, 2.349], [-1.248, 3.913, 2.595]], "species": ["P", "P", "Cl", "Bi", "S"], "frac_coords": [[0.500, 0.000, 0.000], [0.000, 0.500, 0.000], [0.000, 0.000, 0.000], [0.500, 0.500, 0.500], [0.000, 0.000, 0.500]]}


Record 2
{"formula": "BiSbPCl2", "functional": "PBE", "state": "optimized geometry", "spacegroup": "P4/mmm", "e_above_lowest_polymorph_mev_per_atom": 0, "lattice_angstrom": [[5.117, 0.000, 0.000], [0.000, 5.117, 0.000], [0.000, 0.000, 5.537]], "species": ["P", "Sb", "Cl", "Cl", "Bi"], "frac_coords": [[0.000, 0.000, 0.500], [0.000, 0.000, 0.000], [0.500, 0.000, 0.000], [0.000, 0.500, 0.000], [0.500, 0.500, 0.500]]}


Record 3
{"formula": "BiSbPCl2", "functional": "PBE", "state": "optimized geometry", "spacegroup": "P4/mmm", "e_above_lowest_polymorph_mev_per_atom": 78, "lattice_angstrom": [[-4.449, 0.003, 2.766], [-2.731, -0.825, -4.393], [0.484, -5.793, 0.786]], "species": ["Sb", "Bi", "Cl", "Cl", "P"], "frac_coords": [[0.500, 0.500, 0.500], [0.000, 0.000, 0.000], [0.500, 0.000, 0.000], [0.000, 0.500, 0.000], [0.000, 0.000, 0.500]]}


Record 4
{"formula": "ScBiP2Cl", "functional": "PBE", "state": "optimized geometry", "spacegroup": "P4/mmm", "e_above_lowest_polymorph_mev_per_atom": 0, "lattice_angstrom": [[5.100, 0.000, 0.000], [0.000, 5.100, 0.000], [0.000, 0.000, 4.740]], "species": ["P", "P", "Bi", "Sc", "Cl"], "frac_coords": [[0.500, 0.000, 0.000], [0.000, 0.500, 0.000], [0.500, 0.500, 0.500], [0.000, 0.000, 0.000], [0.000, 0.000, 0.500]]}


Record 5
{"formula": "ScBiPCl2", "functional": "PBE", "state": "optimized geometry", "spacegroup": "P4/mmm", "e_above_lowest_polymorph_mev_per_atom": 0, "lattice_angstrom": [[4.806, 0.000, 0.000], [0.000, 4.806, 0.000], [0.000, 0.000, 5.550]], "species": ["Sc", "Cl", "Cl", "P", "Bi"], "frac_coords": [[0.000, 0.000, 0.000], [0.000, 0.500, 0.000], [0.500, 0.000, 0.000], [0.000, 0.000, 0.500], [0.500, 0.500, 0.500]]}


Record 6
{"formula": "ScBiPCl2", "functional": "PBE", "state": "optimized geometry", "spacegroup": "P4/mmm", "e_above_lowest_polymorph_mev_per_atom": 830, "lattice_angstrom": [[-3.687, -2.841, 2.495], [3.495, -1.231, 3.763], [-1.504, 4.459, 2.856]], "species": ["Cl", "Cl", "P", "Bi", "Sc"], "frac_coords": [[0.000, 0.500, 0.000], [0.500, 0.000, 0.000], [0.000, 0.000, 0.500], [0.000, 0.000, 0.000], [0.500, 0.500, 0.500]]}


Record 7
{"formula": "ScBiP2Cl", "functional": "PBE", "state": "optimized geometry", "spacegroup": "P4/mmm", "e_above_lowest_polymorph_mev_per_atom": 666, "lattice_angstrom": [[5.252, 0.000, 0.000], [0.000, 5.252, 0.000], [0.000, 0.000, 5.119]], "species": ["Cl", "P", "P", "Bi", "Sc"], "frac_coords": [[0.000, 0.000, 0.500], [0.500, 0.000, 0.000], [0.000, 0.500, 0.000], [0.000, 0.000, 0.000], [0.500, 0.500, 0.500]]}


Record 8
{"formula": "BiPSeCl2", "functional": "PBE", "state": "optimized geometry", "spacegroup": "P4/mmm", "e_above_lowest_polymorph_mev_per_atom": 0, "lattice_angstrom": [[4.868, 0.000, 0.000], [0.000, 4.868, 0.000], [0.000, 0.000, 5.301]], "species": ["P", "Cl", "Cl", "Bi", "Se"], "frac_coords": [[0.000, 0.000, 0.500], [0.500, 0.000, 0.000], [0.000, 0.500, 0.000], [0.500, 0.500, 0.500], [0.000, 0.000, 0.000]]}


Record 9
{"formula": "BiPSeCl2", "functional": "PBE", "state": "optimized geometry", "spacegroup": "P4/mmm", "e_above_lowest_polymorph_mev_per_atom": 9, "lattice_angstrom": [[5.245, 0.000, 0.000], [0.000, 5.245, 0.000], [0.000, 0.000, 5.905]], "species": ["Cl", "Cl", "Se", "Bi", "P"], "frac_coords": [[0.500, 0.000, 0.000], [0.000, 0.500, 0.000], [0.500, 0.500, 0.500], [0.000, 0.000, 0.000], [0.000, 0.000, 0.500]]}


Record 10
{"formula": "SiBiPCl2", "functional": "PBE", "state": "optimized geometry", "spacegroup": "P4/mmm", "e_above_lowest_polymorph_mev_per_atom": 0, "lattice_angstrom": [[4.670, 0.000, 0.000], [0.000, 4.670, 0.000], [0.000, 0.000, 5.034]], "species": ["Cl", "Cl", "P", "Bi", "Si"], "frac_coords": [[0.000, 0.500, 0.000], [0.500, 0.000, 0.000], [0.000, 0.000, 0.500], [0.500, 0.500, 0.500], [0.000, 0.000, 0.000]]}


Record 11
{"formula": "SiBiP2Cl", "functional": "PBE", "state": "optimized geometry", "spacegroup": "P4/mmm", "e_above_lowest_polymorph_mev_per_atom": 826, "lattice_angstrom": [[5.301, 0.000, 0.000], [0.000, 5.301, 0.000], [0.000, 0.000, 5.214]], "species": ["P", "P", "Cl", "Bi", "Si"], "frac_coords": [[0.500, 0.000, 0.000], [0.000, 0.500, 0.000], [0.000, 0.000, 0.500], [0.000, 0.000, 0.000], [0.500, 0.500, 0.500]]}


Record 12
{"formula": "SiBiPCl2", "functional": "PBE", "state": "optimized geometry", "spacegroup": "P4/mmm", "e_above_lowest_polymorph_mev_per_atom": 506, "lattice_angstrom": [[-4.806, -2.182, -0.066], [0.322, -0.551, -5.240], [2.264, -5.007, 0.665]], "species": ["Si", "P", "Cl", "Cl", "Bi"], "frac_coords": [[0.500, 0.500, 0.500], [0.000, 0.000, 0.500], [0.500, 0.000, 0.000], [0.000, 0.500, 0.000], [0.000, 0.000, 0.000]]}


Record 13
{"formula": "SiBiP2Cl", "functional": "PBE", "state": "optimized geometry", "spacegroup": "P4/mmm", "e_above_lowest_polymorph_mev_per_atom": 0, "lattice_angstrom": [[-3.451, -3.214, -0.008], [1.762, -1.882, -3.949], [2.617, -2.817, 2.510]], "species": ["Cl", "P", "P", "Si", "Bi"], "frac_coords": [[0.000, 0.000, 0.500], [0.000, 0.500, 0.000], [0.500, 0.000, 0.000], [0.000, 0.000, 0.000], [0.500, 0.500, 0.500]]}


Record 14
{"formula": "SnBiPCl2", "functional": "PBE", "state": "optimized geometry", "spacegroup": "P4/mmm", "e_above_lowest_polymorph_mev_per_atom": 7, "lattice_angstrom": [[5.324, 0.000, 0.000], [0.000, 5.324, 0.000], [0.000, 0.000, 5.502]], "species": ["Cl", "Cl", "P", "Bi", "Sn"], "frac_coords": [[0.000, 0.500, 0.000], [0.500, 0.000, 0.000], [0.000, 0.000, 0.500], [0.000, 0.000, 0.000], [0.500, 0.500, 0.500]]}


Record 15
{"formula": "SnBiPCl2", "functional": "PBE", "state": "optimized geometry", "spacegroup": "P4/mmm", "e_above_lowest_polymorph_mev_per_atom": 0, "lattice_angstrom": [[-2.225, -1.310, -4.412], [3.159, -3.999, -0.406], [-3.540, -3.070, 2.696]], "species": ["Bi", "Cl", "Cl", "P", "Sn"], "frac_coords": [[0.500, 0.500, 0.500], [0.500, 0.000, 0.000], [0.000, 0.500, 0.000], [0.000, 0.000, 0.500], [0.000, 0.000, 0.000]]}


Record 16
{"formula": "SrBiP2Cl", "functional": "PBE", "state": "optimized geometry", "spacegroup": "P4/mmm", "e_above_lowest_polymorph_mev_per_atom": 0, "lattice_angstrom": [[5.273, 0.000, 0.000], [0.000, 5.273, 0.000], [0.000, 0.000, 5.481]], "species": ["P", "P", "Bi", "Cl", "Sr"], "frac_coords": [[0.500, 0.000, 0.000], [0.000, 0.500, 0.000], [0.000, 0.000, 0.000], [0.000, 0.000, 0.500], [0.500, 0.500, 0.500]]}


Record 17
{"formula": "Sr5Bi2PCl", "functional": "PBE", "state": "optimized geometry", "spacegroup": "Cmc2_1", "lattice_angstrom": [[4.753, 0.000, 0.000], [-2.376, 9.743, 0.000], [0.000, 0.000, 14.106]], "species": ["P", "P", "Bi", "Bi", "Bi", "Bi", "Sr", "Sr", "Sr", "Sr", "Sr", "Sr", "Sr", "Sr", "Sr", "Sr", "Cl", "Cl"], "frac_coords": [[0.207, 0.415, 0.006], [0.793, 0.585, 0.506], [0.868, 0.737, 0.798], [0.132, 0.263, 0.298], [0.105, 0.210, 0.686], [0.895, 0.790, 0.186], [0.496, 0.993, 0.774], [0.279, 0.558, 0.652], [0.936, 0.871, 0.568], [0.694, 0.388, 0.868], [0.306, 0.612, 0.368], [0.504, 0.007, 0.274], [0.639, 0.279, 0.500], [0.064, 0.129, 0.068], [0.721, 0.442, 0.152], [0.361, 0.721, 0.000], [0.475, 0.949, 0.472], [0.525, 0.051, 0.972]]}


Record 18
{"formula": "SrBiP2Cl", "functional": "PBE", "state": "optimized geometry", "spacegroup": "P4/mmm", "e_above_lowest_polymorph_mev_per_atom": 593, "lattice_angstrom": [[5.762, 0.000, 0.000], [0.000, 5.762, 0.000], [0.000, 0.000, 5.233]], "species": ["Cl", "P", "P", "Bi", "Sr"], "frac_coords": [[0.000, 0.000, 0.500], [0.500, 0.000, 0.000], [0.000, 0.500, 0.000], [0.500, 0.500, 0.500], [0.000, 0.000, 0.000]]}


Record 19
{"formula": "TaBiP2Cl", "functional": "PBE", "state": "optimized geometry", "spacegroup": "P4/mmm", "e_above_lowest_polymorph_mev_per_atom": 0, "lattice_angstrom": [[4.953, 0.000, 0.000], [0.000, 4.953, 0.000], [0.000, 0.000, 4.702]], "species": ["P", "P", "Cl", "Ta", "Bi"], "frac_coords": [[0.500, 0.000, 0.000], [0.000, 0.500, 0.000], [0.000, 0.000, 0.500], [0.000, 0.000, 0.000], [0.500, 0.500, 0.500]]}


Record 20
{"formula": "TaBiPCl2", "functional": "PBE", "state": "optimized geometry", "spacegroup": "P4/mmm", "e_above_lowest_polymorph_mev_per_atom": 0, "lattice_angstrom": [[-2.269, -0.317, -4.180], [-4.105, -0.797, 2.289], [-0.922, 5.079, 0.115]], "species": ["Ta", "Bi", "Cl", "Cl", "P"], "frac_coords": [[0.000, 0.000, 0.000], [0.500, 0.500, 0.500], [0.000, 0.500, 0.000], [0.500, 0.000, 0.000], [0.000, 0.000, 0.500]]}


So what do the calculations give for ΔE_f (raw)? Going down the list: 95.7 19.3 26.8 -18.6 -69.9 10.2 45.6 38.0 38.8 6.2 107.9 55.0 28.2 8.9 8.2 -15.5 -114.4 41.7 9.1 -2.4 kJ/mol of atoms.
So what do the calculations give for magnetization? Going down the list: 0.0 1.2 1.0 0.0 1.0 1.1 0.1 0.5 1.9 0.0 0.0 0.3 0.0 0.1 0.7 0.0 0.0 1.6 0.0 1.1 μB per formula unit.